Here is a relaxed LaBe3Os crystal from Alexandria via LeMat-Bulk. Energies are from GGA-PBE.

Values from the calculation:
Formation energy from the elements (kJ/mol of formula units): 1321
Density (Mg/m³): 6.43

a b c (Å): 4.514 4.514 4.514
angles (deg): 90.00 90.00 90.00
Fractional coordinates of all 5 atoms:
La  0.000  0.000  0.000
Be  0.000  0.000  0.500
Be  0.000  0.500  0.000
Be  0.500  0.000  0.000
Os  0.500  0.500  0.500